Record 1
The following is a DFT calculation (meta-GGA SCAN) of a PBEsol-optimized structure of ScHg2Pb.

Cell lengths 11.3650, 3.3947, 5.2892 Å; angles 90.00, 114.56, 90.00 degrees
With the nearest neighbours (Å) after each atom.
Space group Cm (No. 8)
Symmetry-distinct sites (fractional):
Sc 0.0000 0.0000 0.0000 x2  6 Hg 3.02-3.28, 3 Pb 3.09-3.15
Hg 0.0215 0.5000 0.4908 x2  4 Sc 3.03-3.28, 3 Hg 3.07-3.21, 1 Pb 3.15
Hg 0.2795 0.0000 0.6123 x2  2 Sc 3.02, 3 Hg 3.07-3.21, 4 Pb 3.13-3.19
Pb 0.2482 0.5000 0.0907 x2  3 Sc 3.09-3.15, 7 Hg 3.13-3.40, 2 Pb 3.39

* calculated formation energy: -0.26 eV/atom
* volume: 185.6 Å³/cell
* uncorrected energy: -56.849 eV per atom

---

Record 2
The following is a DFT calculation (meta-GGA SCAN) of a PBEsol-optimized structure of Sc2HgPb.

Cell lengths 3.2881, 4.0231, 6.6229 Å; angles 90.00, 90.00, 90.00 degrees
With the nearest neighbours (Å) after each atom.
Space group Pmmm (No. 47)
Symmetry-distinct sites (fractional):
Sc 0.0000 0.0000 0.2426 x2  4 Hg 3.05, 4 Pb 3.11, 4 Sc 3.21-3.41
Hg 0.5000 0.5000 0.0000 x1  8 Sc 3.05, 2 Hg 3.29, 2 Pb 3.31
Pb 0.5000 0.5000 0.5000 x1  8 Sc 3.11, 2 Pb 3.29, 2 Hg 3.31

* calculated formation energy: -0.59 eV/atom
* volume: 87.6 Å³/cell
* uncorrected energy: -43.695 eV per atom

---

Record 3
The following is a DFT calculation (meta-GGA SCAN) of a PBEsol-optimized structure of Sc2HgPb.

Cell lengths 6.5705, 8.0806, 3.2874 Å; angles 90.00, 90.00, 90.00 degrees
With the nearest neighbours (Å) after each atom.
Space group Cmmm (No. 65)
Symmetry-distinct sites (fractional):
Sc 0.2500 0.2500 0.0000 x4  4 Hg 3.08, 4 Pb 3.08, 4 Sc 3.29
Hg 0.0000 0.0000 0.5000 x2  8 Sc 3.08, 2 Pb 3.29, 2 Hg 3.29
Pb 0.0000 0.5000 0.5000 x2  8 Sc 3.08, 2 Hg 3.29, 2 Pb 3.29

* calculated formation energy: -0.57 eV/atom
* volume: 174.5 Å³/cell
* uncorrected energy: -43.676 eV per atom

---

Record 4
The following is a DFT calculation (meta-GGA SCAN) of a PBEsol-optimized structure of HgPb2Se.

Cell lengths 11.5953, 3.9267, 4.8291 Å; angles 90.00, 100.00, 90.00 degrees
With the nearest neighbours (Å) after each atom.
Space group Cm (No. 8)
Symmetry-distinct sites (fractional):
Hg 0.0000 0.0000 0.0000 x2  7 Pb 3.09-3.35
Pb 0.2369 0.5000 0.0563 x2  4 Se 2.98-3.25, 1 Hg 3.11
Pb 0.4910 0.0000 0.5031 x2  1 Se 2.86, 4 Hg 3.09-3.14
Se 0.2461 0.0000 0.5236 x2  3 Pb 2.86-2.98

* volume: 216.5 Å³/cell
* energy relative to the elements, uncorrected: -0.171 eV/atom
* uncorrected energy: -60.123 eV per atom
* ΔE to the lowest computed polymorph: 0 meV per atom

---

Record 5
The following is a DFT calculation (meta-GGA SCAN) of a PBEsol-optimized structure of HgPbSe.

Cell lengths 7.0825, 7.0825, 7.0825 Å; angles 90.00, 90.00, 90.00 degrees
With the nearest neighbours (Å) after each atom.
Space group F-43m (No. 216)
Symmetry-distinct sites (fractional):
Hg 0.0000 0.0000 0.0000 x4  4 Se 3.07
Pb 0.0000 0.0000 0.5000 x4  4 Se 3.07
Se 0.2500 0.2500 0.7500 x4  4 Hg 3.07, 4 Pb 3.07

* volume: 355.3 Å³/cell
* energy relative to the elements, uncorrected: -0.065 eV/atom
* uncorrected energy: -54.740 eV per atom

---

Record 6
The following is a DFT calculation (meta-GGA SCAN) of a PBEsol-optimized structure of HgPb2Se.

Cell lengths 5.2217, 5.2217, 3.7755 Å; angles 90.00, 90.00, 90.00 degrees
With the nearest neighbours (Å) after each atom.
Space group P4/mmm (No. 123)
Symmetry-distinct sites (fractional):
Hg 0.0000 0.0000 0.0000 x1  8 Pb 3.22
Pb 0.0000 0.5000 0.5000 x2  4 Hg 3.22, 4 Se 3.22
Se 0.5000 0.5000 0.0000 x1  8 Pb 3.22

* volume: 102.9 Å³/cell
* energy relative to the elements, uncorrected: -0.098 eV/atom
* uncorrected energy: -60.049 eV per atom
* ΔE to the lowest computed polymorph: 73 meV per atom

---

Record 7
The following is a DFT calculation (meta-GGA SCAN) of a PBEsol-optimized structure of Si2HgPb.

Cell lengths 6.9698, 6.9698, 6.9698 Å; angles 90.00, 90.00, 90.00 degrees
With the nearest neighbours (Å) after each atom.
Space group F-43m (No. 216)
Symmetry-distinct sites (fractional):
Si 0.0000 0.0000 0.0000 x4  4 Si 3.02, 4 Pb 3.02
Si 0.2500 0.2500 0.2500 x4  4 Hg 3.02, 4 Si 3.02
Hg 0.0000 0.0000 0.5000 x4  4 Pb 3.02, 4 Si 3.02
Pb 0.2500 0.2500 0.7500 x4  4 Hg 3.02, 4 Si 3.02

* volume: 338.6 Å³/cell
* energy relative to the elements, uncorrected: 0.754 eV/atom
* uncorrected energy: -40.240 eV per atom
* ΔE to the lowest computed polymorph: 149 meV per atom

---

Record 8
The following is a DFT calculation (meta-GGA SCAN) of a PBEsol-optimized structure of Si2HgPb.

Cell lengths 3.5870, 3.7175, 6.4815 Å; angles 90.00, 90.00, 90.00 degrees
With the nearest neighbours (Å) after each atom.
Space group Pmmm (No. 47)
Symmetry-distinct sites (fractional):
Si 0.0000 0.0000 0.1878 x2  1 Si 2.43
Hg 0.5000 0.5000 0.0000 x1  8 Si 2.86
Pb 0.5000 0.5000 0.5000 x1  2 Hg 3.24, 8 Si 3.28, 2 Pb 3.59

* volume: 86.4 Å³/cell
* energy relative to the elements, uncorrected: 0.605 eV/atom
* uncorrected energy: -40.389 eV per atom
* ΔE to the lowest computed polymorph: 0 meV per atom

---

Record 9
The following is a DFT calculation (meta-GGA SCAN) of a PBEsol-optimized structure of SiHg4Pb.

Cell lengths 8.2776, 8.2776, 8.2776 Å; angles 90.00, 90.00, 90.00 degrees
With the nearest neighbours (Å) after each atom.
Space group F-43m (No. 216)
Symmetry-distinct sites (fractional):
Si 0.0000 0.0000 0.0000 x4  12 Hg 3.43, 4 Pb 3.58
Hg 0.1253 0.1253 0.3747 x16  6 Hg 2.92-2.93
Pb 0.2500 0.2500 0.7500 x4  12 Hg 3.43, 4 Si 3.58

* volume: 567.2 Å³/cell
* energy relative to the elements, uncorrected: 0.473 eV/atom
* uncorrected energy: -59.271 eV per atom

---

Record 10
The following is a DFT calculation (meta-GGA SCAN) of a PBEsol-optimized structure of SiHgPb2.

Cell lengths 5.3353, 5.3353, 3.4403 Å; angles 90.00, 90.00, 90.00 degrees
With the nearest neighbours (Å) after each atom.
Space group P4/mmm (No. 123)
Symmetry-distinct sites (fractional):
Si 0.0000 0.0000 0.0000 x1  8 Pb 3.17, 2 Si 3.44
Hg 0.5000 0.5000 0.0000 x1  8 Pb 3.17, 2 Hg 3.44
Pb 0.0000 0.5000 0.5000 x2  4 Hg 3.17, 4 Si 3.17, 2 Pb 3.44

* volume: 97.9 Å³/cell
* energy relative to the elements, uncorrected: 0.407 eV/atom
* uncorrected energy: -57.029 eV per atom
* ΔE to the lowest computed polymorph: 56 meV per atom

---

Record 11
The following is a DFT calculation (meta-GGA SCAN) of a PBEsol-optimized structure of SiHgPb.

Cell lengths 4.6771, 4.8674, 11.9931 Å; angles 90.00, 90.00, 90.00 degrees
With the nearest neighbours (Å) after each atom.
Space group Fmm2 (No. 42)
Symmetry-distinct sites (fractional):
Si 0.0000 0.0000 0.0000 x4  4 Hg 2.83-2.91, 4 Pb 3.10-3.17
Hg 0.0000 0.0000 0.3665 x4  4 Si 2.83-2.91
Pb 0.0000 0.0000 0.6693 x4  4 Si 3.10-3.17, 4 Hg 3.33-3.39, 4 Pb 3.38

* volume: 273.0 Å³/cell
* energy relative to the elements, uncorrected: 0.488 eV/atom
* uncorrected energy: -50.833 eV per atom
* ΔE to the lowest computed polymorph: 135 meV per atom

---

Record 12
The following is a DFT calculation (meta-GGA SCAN) of a PBEsol-optimized structure of Si2HgPb.

Cell lengths 4.1857, 4.1857, 9.7949 Å; angles 90.00, 90.00, 90.00 degrees
With the nearest neighbours (Å) after each atom.
Space group I4/mmm (No. 139)
Symmetry-distinct sites (fractional):
Si 0.0000 0.5000 0.2500 x4  4 Si 2.96, 4 Hg 3.22, 4 Pb 3.22
Hg 0.0000 0.0000 0.0000 x2  4 Pb 2.96, 8 Si 3.22
Pb 0.0000 0.0000 0.5000 x2  4 Hg 2.96, 8 Si 3.22

* volume: 171.6 Å³/cell
* energy relative to the elements, uncorrected: 0.758 eV/atom
* uncorrected energy: -40.237 eV per atom
* ΔE to the lowest computed polymorph: 153 meV per atom